No. 1
Computed, not measured: crystalline HSeS at its relaxed geometry at the PBE level of DFT.

space group: C222_1 (20)
M_tot: 0.00 μB/f.u.
energy above the lowest structure with this stoichiometry: 18 meV per atom
E: -126.062 eV per cell

a = 10.206 Å, b = 10.206 Å, c = 10.909 Å
α = 90.00°, β = 90.00°, γ = 103.37°
Atoms (fractional coordinates):
1 H 0.023 0.861 0.936
2 H 0.063 0.700 0.424
3 H 0.118 0.728 0.038
4 H 0.139 0.977 0.564
5 H 0.272 0.882 0.462
6 H 0.300 0.937 0.076
7 H 0.700 0.063 0.576
8 H 0.728 0.118 0.962
9 H 0.861 0.023 0.064
10 H 0.882 0.272 0.538
11 H 0.937 0.300 0.924
12 H 0.977 0.139 0.436
13 Se 0.016 0.235 0.546
14 Se 0.082 0.918 0.250
15 Se 0.147 0.608 0.468
16 Se 0.235 0.016 0.454
17 Se 0.392 0.853 0.032
18 Se 0.403 0.597 0.250
19 Se 0.597 0.403 0.750
20 Se 0.608 0.147 0.532
21 Se 0.765 0.984 0.954
22 Se 0.853 0.392 0.968
23 Se 0.918 0.082 0.750
24 Se 0.984 0.765 0.046
25 S 0.054 0.946 0.750
26 S 0.140 0.698 0.731
27 S 0.183 0.538 0.276
28 S 0.302 0.860 0.769
29 S 0.336 0.664 0.750
30 S 0.462 0.817 0.224
31 S 0.538 0.183 0.724
32 S 0.664 0.336 0.250
33 S 0.698 0.140 0.269
34 S 0.817 0.462 0.776
35 S 0.860 0.302 0.231
36 S 0.946 0.054 0.250

=====

No. 2
Computed, not measured: crystalline H3SeS at its relaxed geometry at the PBE level of DFT.

space group: Pm-3m (221)
M_tot: 1.01 μB/f.u.
D(E_F): 2.62 states/eV/cell
energy above the lowest structure with this stoichiometry: 917 meV per atom
E: -13.523 eV per cell

a = 3.698 Å, b = 3.698 Å, c = 3.698 Å
α = 90.00°, β = 90.00°, γ = 90.00°
Atoms (fractional coordinates):
1 H 0.000 0.000 0.500
2 H 0.000 0.500 0.000
3 H 0.500 0.000 0.000
4 Se 0.000 0.000 0.000
5 S 0.500 0.500 0.500

=====

No. 3
Computed, not measured: crystalline HSeS2 at its relaxed geometry at the PBE level of DFT.

space group: R-3m (166)
M_tot: 0.00 μB/f.u.
D(E_F): 7.19 states/eV/cell
energy above the lowest structure with this stoichiometry: 469 meV per atom
E: -34.879 eV per cell

a = 3.055 Å, b = 3.055 Å, c = 22.142 Å
α = 90.00°, β = 90.00°, γ = 120.00°
Atoms (fractional coordinates):
1 H 0.000 0.000 0.000
2 H 0.333 0.667 0.667
3 H 0.667 0.333 0.333
4 Se 0.000 0.000 0.500
5 Se 0.333 0.667 0.167
6 Se 0.667 0.333 0.833
7 S 0.000 0.000 0.391
8 S 0.000 0.000 0.609
9 S 0.333 0.667 0.058
10 S 0.333 0.667 0.275
11 S 0.667 0.333 0.725
12 S 0.667 0.333 0.942

=====

No. 4
Computed, not measured: crystalline HSeS2 at its relaxed geometry at the PBE level of DFT.

space group: R-3m (166)
M_tot: 0.00 μB/f.u.
D(E_F): 5.28 states/eV/cell
energy above the lowest structure with this stoichiometry: 0 meV per atom
E: -40.502 eV per cell

a = 4.084 Å, b = 4.084 Å, c = 17.040 Å
α = 90.00°, β = 90.00°, γ = 120.00°
Atoms (fractional coordinates):
1 H 0.000 0.000 0.000
2 H 0.333 0.667 0.667
3 H 0.667 0.333 0.333
4 Se 0.000 0.000 0.500
5 Se 0.333 0.667 0.167
6 Se 0.667 0.333 0.833
7 S 0.000 0.000 0.096
8 S 0.000 0.000 0.904
9 S 0.333 0.667 0.570
10 S 0.333 0.667 0.763
11 S 0.667 0.333 0.237
12 S 0.667 0.333 0.430

=====

No. 5
Computed, not measured: crystalline H3SeS at its relaxed geometry at the PBE level of DFT.

space group: P-1 (2)
M_tot: 0.00 μB/f.u.
energy above the lowest structure with this stoichiometry: 0 meV per atom
E: -36.214 eV per cell

a = 5.229 Å, b = 5.811 Å, c = 8.435 Å
α = 81.62°, β = 74.01°, γ = 66.01°
Atoms (fractional coordinates):
1 H 0.112 0.345 0.268
2 H 0.232 0.169 0.850
3 H 0.257 0.652 0.741
4 H 0.743 0.348 0.259
5 H 0.768 0.831 0.150
6 H 0.888 0.655 0.732
7 Se 0.264 0.947 0.970
8 Se 0.736 0.053 0.030
9 S 0.167 0.528 0.656
10 S 0.833 0.472 0.344

=====

No. 6
Computed, not measured: crystalline H5Se2S at its relaxed geometry at the PBE level of DFT.

space group: P1 (1)
M_tot: 1.00 μB/f.u.
E: -27.532 eV per cell

a = 4.943 Å, b = 5.738 Å, c = 6.607 Å
α = 85.32°, β = 82.39°, γ = 66.53°
Atoms (fractional coordinates):
1 H 0.000 0.000 0.000
2 H 0.075 0.326 0.635
3 H 0.159 0.771 0.734
4 H 0.436 0.493 0.108
5 H 0.677 0.387 0.342
6 Se 0.291 0.886 0.872
7 Se 0.966 0.562 0.502
8 S 0.515 0.289 0.244

=====

No. 7
Computed, not measured: crystalline H2SeS8 at its relaxed geometry at the PBE level of DFT.

space group: P-1 (2)
M_tot: 0.00 μB/f.u.
D(E_F): 3.91 states/eV/cell
E: -41.931 eV per cell

a = 5.887 Å, b = 6.304 Å, c = 8.264 Å
α = 82.73°, β = 79.42°, γ = 81.22°
Atoms (fractional coordinates):
1 H 0.171 0.114 0.022
2 H 0.829 0.886 0.978
3 Se 0.000 0.500 0.500
4 S 0.024 0.571 0.187
5 S 0.216 0.046 0.178
6 S 0.307 0.719 0.141
7 S 0.377 0.627 0.503
8 S 0.623 0.373 0.497
9 S 0.693 0.281 0.859
10 S 0.784 0.954 0.822
11 S 0.976 0.429 0.813

=====

No. 8
Computed, not measured: crystalline HSeS2 at its relaxed geometry at the PBE level of DFT.

space group: Fm-3m (225)
M_tot: 0.00 μB/f.u.
D(E_F): 11.06 states/eV/cell
energy above the lowest structure with this stoichiometry: 684 meV per atom
E: -43.052 eV per cell

a = 6.200 Å, b = 6.200 Å, c = 6.200 Å
α = 90.00°, β = 90.00°, γ = 90.00°
Atoms (fractional coordinates):
1 H 0.000 0.000 0.000
2 H 0.000 0.500 0.500
3 H 0.500 0.000 0.500
4 H 0.500 0.500 0.000
5 Se 0.000 0.000 0.500
6 Se 0.000 0.500 0.000
7 Se 0.500 0.000 0.000
8 Se 0.500 0.500 0.500
9 S 0.250 0.250 0.250
10 S 0.250 0.250 0.750
11 S 0.250 0.750 0.250
12 S 0.250 0.750 0.750
13 S 0.750 0.250 0.250
14 S 0.750 0.250 0.750
15 S 0.750 0.750 0.250
16 S 0.750 0.750 0.750

=====

No. 9
Computed, not measured: crystalline HSeS2 at its relaxed geometry at the PBE level of DFT.

space group: I-42d (122)
M_tot: 0.00 μB/f.u.
D(E_F): 6.81 states/eV/cell
energy above the lowest structure with this stoichiometry: 284 meV per atom
E: -49.454 eV per cell

a = 5.734 Å, b = 5.734 Å, c = 7.895 Å
α = 90.00°, β = 90.00°, γ = 90.00°
Atoms (fractional coordinates):
1 H 0.000 0.000 0.000
2 H 0.000 0.500 0.250
3 H 0.500 0.000 0.750
4 H 0.500 0.500 0.500
5 Se 0.000 0.000 0.500
6 Se 0.000 0.500 0.750
7 Se 0.500 0.000 0.250
8 Se 0.500 0.500 0.000
9 S 0.182 0.250 0.125
10 S 0.250 0.682 0.375
11 S 0.250 0.818 0.875
12 S 0.318 0.250 0.625
13 S 0.682 0.750 0.625
14 S 0.750 0.182 0.875
15 S 0.750 0.318 0.375
16 S 0.818 0.750 0.125

=====

No. 10
Computed, not measured: crystalline H3SeS at its relaxed geometry at the PBE level of DFT.

space group: R3m (160)
M_tot: 0.00 μB/f.u.
D(E_F): 2.57 states/eV/cell
energy above the lowest structure with this stoichiometry: 310 meV per atom
E: -49.666 eV per cell

a = 5.775 Å, b = 5.775 Å, c = 5.895 Å
α = 90.00°, β = 90.00°, γ = 120.00°
Atoms (fractional coordinates):
1 H 0.039 0.519 0.000
2 H 0.147 0.294 0.333
3 H 0.147 0.853 0.333
4 H 0.372 0.186 0.667
5 H 0.481 0.519 0.000
6 H 0.481 0.961 0.000
7 H 0.706 0.853 0.333
8 H 0.814 0.186 0.667
9 H 0.814 0.628 0.667
10 Se 0.000 0.000 0.747
11 Se 0.333 0.667 0.413
12 Se 0.667 0.333 0.080
13 S 0.000 0.000 0.250
14 S 0.333 0.667 0.917
15 S 0.667 0.333 0.584

=====

No. 11
Computed, not measured: crystalline H3SeS at its relaxed geometry at the PBE level of DFT.

space group: Pm-3m (221)
M_tot: 0.59 μB/f.u.
D(E_F): 2.57 states/eV/cell
energy above the lowest structure with this stoichiometry: 930 meV per atom
E: -13.458 eV per cell

a = 3.603 Å, b = 3.603 Å, c = 3.603 Å
α = 90.00°, β = 90.00°, γ = 90.00°
Atoms (fractional coordinates):
1 H 0.000 0.000 0.500
2 H 0.000 0.500 0.000
3 H 0.500 0.000 0.000
4 Se 0.500 0.500 0.500
5 S 0.000 0.000 0.000

=====

No. 12
Computed, not measured: crystalline SiH2SeS at its relaxed geometry at the PBE level of DFT.

space group: P1 (1)
M_tot: 0.00 μB/f.u.
energy above the lowest structure with this stoichiometry: 176 meV per atom
E: -20.304 eV per cell

a = 4.697 Å, b = 5.094 Å, c = 5.367 Å
α = 106.59°, β = 104.18°, γ = 113.77°
Atoms (fractional coordinates):
1 Si 0.000 0.000 0.000
2 H 0.151 0.143 0.825
3 H 0.690 0.677 0.834
4 Se 0.425 0.962 0.293
5 S 0.866 0.313 0.243

=====

No. 13
Computed, not measured: crystalline SiH2SeS at its relaxed geometry at the PBE level of DFT.

space group: P1 (1)
M_tot: 0.00 μB/f.u.
D(E_F): 0.00 states/eV/cell
energy above the lowest structure with this stoichiometry: 368 meV per atom
E: -19.343 eV per cell

a = 3.694 Å, b = 5.273 Å, c = 6.544 Å
α = 98.25°, β = 99.76°, γ = 101.93°
Atoms (fractional coordinates):
1 Si 0.000 0.000 0.000
2 H 0.277 0.359 0.666
3 H 0.383 0.499 0.713
4 Se 0.648 0.268 0.198
5 S 0.799 0.897 0.283

=====

No. 14
Computed, not measured: crystalline SiH2SeS at its relaxed geometry at the PBE level of DFT.

space group: P1 (1)
M_tot: 0.00 μB/f.u.
energy above the lowest structure with this stoichiometry: 256 meV per atom
E: -19.906 eV per cell

a = 3.952 Å, b = 4.280 Å, c = 5.994 Å
α = 91.51°, β = 93.75°, γ = 90.51°
Atoms (fractional coordinates):
1 Si 0.000 0.000 0.000
2 H 0.432 0.385 0.733
3 H 0.813 0.808 0.394
4 Se 0.471 0.397 0.981
5 S 0.064 0.019 0.371

=====

No. 15
Computed, not measured: crystalline SiH2SeS at its relaxed geometry at the PBE level of DFT.

space group: P1 (1)
M_tot: 0.00 μB/f.u.
D(E_F): 0.00 states/eV/cell
energy above the lowest structure with this stoichiometry: 237 meV per atom
E: -20.000 eV per cell

a = 3.609 Å, b = 3.616 Å, c = 9.630 Å
α = 81.26°, β = 86.53°, γ = 60.63°
Atoms (fractional coordinates):
1 Si 0.000 0.000 0.000
2 H 0.011 0.362 0.474
3 H 0.756 0.173 0.345
4 Se 0.659 0.729 0.854
5 S 0.624 0.514 0.414

=====

No. 16
Computed, not measured: crystalline SiH2SeS at its relaxed geometry at the PBE level of DFT.

space group: P1 (1)
M_tot: 0.00 μB/f.u.
D(E_F): 0.00 states/eV/cell
energy above the lowest structure with this stoichiometry: 11 meV per atom
E: -21.127 eV per cell

a = 3.556 Å, b = 5.837 Å, c = 6.282 Å
α = 72.71°, β = 86.45°, γ = 86.54°
Atoms (fractional coordinates):
1 Si 0.000 0.000 0.000
2 H 0.052 0.776 0.932
3 H 0.706 0.070 0.369
4 Se 0.497 0.246 0.840
5 S 0.943 0.884 0.357

=====

No. 17
Computed, not measured: crystalline SiH2SeS at its relaxed geometry at the PBE level of DFT.

space group: P1 (1)
M_tot: 0.00 μB/f.u.
D(E_F): 0.00 states/eV/cell
energy above the lowest structure with this stoichiometry: 51 meV per atom
E: -20.929 eV per cell

a = 3.450 Å, b = 5.007 Å, c = 6.751 Å
α = 68.49°, β = 87.50°, γ = 88.82°
Atoms (fractional coordinates):
1 Si 0.000 0.000 0.000
2 H 0.004 0.300 0.995
3 H 0.355 0.173 0.604
4 Se 0.992 0.997 0.662
5 S 0.495 0.768 0.179

=====

No. 18
Computed, not measured: crystalline SiH2SeS at its relaxed geometry at the PBE level of DFT.

space group: P1 (1)
M_tot: 0.00 μB/f.u.
energy above the lowest structure with this stoichiometry: 0 meV per atom
E: -21.183 eV per cell

a = 3.428 Å, b = 3.541 Å, c = 8.711 Å
α = 99.99°, β = 99.57°, γ = 93.51°
Atoms (fractional coordinates):
1 Si 0.000 0.000 0.000
2 H 0.673 0.232 0.539
3 H 0.776 0.330 0.485
4 Se 0.081 0.579 0.175
5 S 0.428 0.926 0.841

=====

No. 19
Computed, not measured: crystalline Sm8HSe4S3 at its relaxed geometry at the PBE level of DFT.

space group: R-3m (166)
M_tot: 0.00 μB/f.u.
D(E_F): 7.56 states/eV/cell
E: -94.475 eV per cell

a = 8.185 Å, b = 8.185 Å, c = 8.185 Å
α = 59.09°, β = 59.09°, γ = 59.09°
Atoms (fractional coordinates):
1 Sm 0.243 0.243 0.243
2 Sm 0.245 0.743 0.743
3 Sm 0.257 0.257 0.755
4 Sm 0.257 0.755 0.257
5 Sm 0.743 0.245 0.743
6 Sm 0.743 0.743 0.245
7 Sm 0.755 0.257 0.257
8 Sm 0.757 0.757 0.757
9 H 0.500 0.500 0.500
10 Se 0.000 0.000 0.000
11 Se 0.000 0.500 0.500
12 Se 0.500 0.000 0.500
13 Se 0.500 0.500 0.000
14 S 0.000 0.000 0.500
15 S 0.000 0.500 0.000
16 S 0.500 0.000 0.000

=====

No. 20
Computed, not measured: crystalline Sm2H2SeS at its relaxed geometry at the PBE level of DFT.

space group: P-3m1 (164)
M_tot: 0.00 μB/f.u.
D(E_F): 0.00 states/eV/cell
E: -32.694 eV per cell

a = 3.911 Å, b = 3.911 Å, c = 7.721 Å
α = 90.00°, β = 90.00°, γ = 120.00°
Atoms (fractional coordinates):
1 Sm 0.333 0.667 0.259
2 Sm 0.667 0.333 0.741
3 H 0.333 0.667 0.744
4 H 0.667 0.333 0.256
5 Se 0.000 0.000 0.000
6 S 0.000 0.000 0.500